{"formula": "PuAs3Pd3", "functional": "GGA-PBE", "state": "optimized geometry", "volume_a3_per_cell": 291.5, "cell": [[6.380, 0.000, 3.248], [2.363, 5.926, 3.248], [0.067, 0.045, 7.759]], "species": ["Pu", "Pu", "As", "As", "As", "As", "As", "As", "Pd", "Pd", "Pd", "Pd", "Pd", "Pd"], "fractional_positions": [[0.333, 0.333, 0.002], [0.667, 0.667, 0.998], [0.250, 0.585, 0.248], [0.917, 0.250, 0.248], [0.585, 0.917, 0.248], [0.415, 0.083, 0.752], [0.083, 0.750, 0.752], [0.750, 0.415, 0.752], [0.450, 0.794, 0.632], [0.794, 0.124, 0.632], [0.124, 0.450, 0.632], [0.876, 0.550, 0.368], [0.206, 0.876, 0.368], [0.550, 0.206, 0.368]]}

=====

{"formula": "Pu2As2Pd", "functional": "GGA-PBE", "state": "optimized geometry", "volume_a3_per_cell": 234.0, "cell": [[5.858, 0.000, 0.000], [0.000, 6.747, 0.000], [-2.929, -3.373, 5.921]], "species": ["Pu", "Pu", "Pu", "Pu", "As", "As", "As", "As", "Pd", "Pd"], "fractional_positions": [[0.868, 0.678, 0.735], [0.132, 0.322, 0.265], [0.632, 0.943, 0.265], [0.368, 0.057, 0.735], [0.376, 0.632, 0.753], [0.624, 0.368, 0.247], [0.124, 0.880, 0.247], [0.876, 0.120, 0.753], [0.750, 0.500, 0.000], [0.250, 0.500, 0.000]]}

=====

{"formula": "PuAs2Pd2", "functional": "GGA-PBE", "state": "optimized geometry", "volume_a3_per_cell": 200.9, "cell": [[-1.149, 0.926, -5.589], [0.713, -5.394, 1.954], [-6.585, 1.818, 3.149]], "species": ["Pu", "Pu", "As", "As", "As", "As", "Pd", "Pd", "Pd", "Pd"], "fractional_positions": [[0.875, 0.625, 0.750], [0.125, 0.375, 0.250], [0.165, 0.335, 0.750], [0.415, 0.085, 0.250], [0.585, 0.915, 0.750], [0.835, 0.665, 0.250], [0.274, 0.023, 0.549], [0.523, 0.774, 0.049], [0.726, 0.977, 0.451], [0.477, 0.226, 0.951]]}

=====

{"formula": "Pu2AsPd", "functional": "GGA-PBE", "state": "optimized geometry", "volume_a3_per_cell": 88.9, "de_polymorph_mev_per_atom": 61, "cell": [[-2.284, -1.398, -4.234], [2.719, -1.246, -4.019], [0.209, -4.775, -1.500]], "species": ["As", "Pd", "Pu", "Pu"], "fractional_positions": [[0.000, 0.000, 0.000], [0.500, 0.500, 0.500], [0.250, 0.250, 0.250], [0.750, 0.750, 0.750]]}

=====

{"formula": "PuAs2Pd3", "functional": "GGA-PBE", "state": "optimized geometry", "volume_a3_per_cell": 218.9, "de_polymorph_mev_per_atom": 30, "cell": [[4.272, 0.000, 0.000], [-2.136, 7.691, -0.059], [0.000, -3.553, 6.689]], "species": ["Pu", "Pu", "As", "As", "As", "As", "Pd", "Pd", "Pd", "Pd", "Pd", "Pd"], "fractional_positions": [[0.856, 0.711, 0.932], [0.144, 0.289, 0.068], [0.491, 0.982, 0.823], [0.509, 0.018, 0.177], [0.797, 0.595, 0.253], [0.203, 0.405, 0.747], [0.311, 0.622, 0.586], [0.943, 0.887, 0.616], [0.605, 0.211, 0.675], [0.395, 0.789, 0.325], [0.057, 0.113, 0.384], [0.689, 0.378, 0.414]]}

=====

{"formula": "PuAs2Pd", "functional": "GGA-PBE", "state": "optimized geometry", "volume_a3_per_cell": 84.3, "cell": [[3.184, 0.000, 0.000], [1.592, 2.757, 0.000], [1.592, 0.919, 9.607]], "species": ["As", "As", "Pd", "Pu"], "fractional_positions": [[0.102, 0.102, 0.695], [0.898, 0.898, 0.305], [0.500, 0.500, 0.500], [0.000, 0.000, 0.000]]}

=====

{"formula": "PuAs2Pd5", "functional": "GGA-PBE", "state": "optimized geometry", "volume_a3_per_cell": 142.5, "cell": [[4.083, 0.000, 0.000], [2.042, 6.007, 0.233], [2.042, 1.333, 5.862]], "species": ["Pu", "As", "As", "Pd", "Pd", "Pd", "Pd", "Pd"], "fractional_positions": [[0.000, 0.000, 0.000], [0.743, 0.757, 0.757], [0.257, 0.243, 0.243], [0.000, 0.500, 0.500], [0.649, 0.543, 0.158], [0.351, 0.457, 0.842], [0.351, 0.842, 0.457], [0.649, 0.158, 0.543]]}

=====

{"formula": "PuAsPd3", "functional": "GGA-PBE", "state": "optimized geometry", "volume_a3_per_cell": 200.2, "cell": [[-2.221, 5.299, -2.580], [0.942, 0.393, -6.215], [-5.221, -0.831, -3.423]], "species": ["Pu", "Pu", "As", "As", "Pd", "Pd", "Pd", "Pd", "Pd", "Pd"], "fractional_positions": [[0.942, 0.942, 0.942], [0.442, 0.442, 0.442], [0.742, 0.742, 0.742], [0.242, 0.242, 0.242], [0.980, 0.971, 0.383], [0.471, 0.480, 0.883], [0.480, 0.883, 0.471], [0.883, 0.471, 0.480], [0.383, 0.980, 0.971], [0.971, 0.383, 0.980]]}

=====

{"formula": "Pu3As4Pd7", "functional": "GGA-PBE", "state": "optimized geometry", "volume_a3_per_cell": 257.0, "cell": [[-3.510, -1.204, 1.818], [2.110, -1.683, 7.656], [-2.176, 6.596, 4.865]], "species": ["Pu", "Pu", "Pu", "As", "As", "As", "As", "Pd", "Pd", "Pd", "Pd", "Pd", "Pd", "Pd"], "fractional_positions": [[0.318, 0.186, 0.178], [0.682, 0.814, 0.822], [0.000, 0.500, 0.500], [0.657, 0.433, 0.253], [0.343, 0.567, 0.747], [0.895, 0.889, 0.322], [0.105, 0.111, 0.678], [0.309, 0.863, 0.519], [0.486, 0.229, 0.800], [0.833, 0.403, 0.931], [0.691, 0.137, 0.481], [0.167, 0.597, 0.069], [0.000, 0.000, 0.000], [0.514, 0.771, 0.200]]}

=====

{"formula": "Pu2As4Pd5", "functional": "GGA-PBE", "state": "optimized geometry", "volume_a3_per_cell": 214.5, "cell": [[-3.261, 4.550, -0.619], [-5.487, -0.584, -1.004], [-3.048, 2.309, 7.413]], "species": ["Pu", "Pu", "As", "As", "As", "As", "Pd", "Pd", "Pd", "Pd", "Pd"], "fractional_positions": [[0.865, 0.000, 0.269], [0.135, 0.000, 0.731], [0.484, 0.294, 0.737], [0.516, 0.706, 0.263], [0.222, 0.294, 0.263], [0.778, 0.706, 0.737], [0.500, 0.000, 0.000], [0.000, 0.500, 0.000], [0.500, 0.500, 0.000], [0.250, 0.500, 0.500], [0.750, 0.500, 0.500]]}

=====

{"formula": "Pu2AsPd", "functional": "GGA-PBE", "state": "optimized geometry", "volume_a3_per_cell": 85.8, "de_polymorph_mev_per_atom": 32, "cell": [[-3.909, 0.827, 0.351], [-0.541, -0.627, -4.551], [-0.884, -4.482, 0.723]], "species": ["As", "Pd", "Pu", "Pu"], "fractional_positions": [[0.500, 0.000, 0.000], [0.500, 0.500, 0.500], [0.000, 0.000, 0.500], [0.000, 0.500, 0.000]]}

=====

{"formula": "Pu2AsPd6", "functional": "GGA-PBE", "state": "optimized geometry", "volume_a3_per_cell": 167.0, "de_polymorph_mev_per_atom": 3, "cell": [[5.711, 0.000, 0.000], [-2.855, 4.772, 1.078], [0.000, 0.074, 6.147]], "species": ["Pu", "Pu", "As", "Pd", "Pd", "Pd", "Pd", "Pd", "Pd"], "fractional_positions": [[0.644, 0.288, 0.154], [0.356, 0.712, 0.846], [0.000, 0.000, 0.000], [0.873, 0.262, 0.681], [0.872, 0.744, 0.699], [0.390, 0.262, 0.681], [0.127, 0.738, 0.319], [0.128, 0.256, 0.301], [0.610, 0.738, 0.319]]}

=====

In the order shown, the computed E_form values come out to -512.1 -764.3 -524.2 -595.3 -607.4 -15.5 -500.8 -464.9 -688.9 -449.0 -624.3 -515.9 meV per atom.